(1)
The following is a DFT calculation (PBE) of a relaxed structure of HfBe2ZnP.

Computed properties:
Energy of formation: 0.56 eV/atom
DOS at the Fermi energy: 2.1 states/eV per cell
E: -4.257 eV/atom
Crystal system: tetragonal

abc: 4.0683 4.0683 4.7088
angles: 90.00 90.00 90.00
Last column: nearest neighbours and their distance in Å.
Space group P4/mmm (No. 123)
Symmetry-distinct sites (fractional):
Hf: 0.0000 0.0000 0.0000  4 Zn 2.88, 8 Be 3.11
Be: 0.0000 0.5000 0.5000  2 P 2.03
Zn: 0.5000 0.5000 0.0000  2 P 2.35
P: 0.5000 0.5000 0.5000  4 Be 2.03

***

(2)
The following is a DFT calculation (PBE) of a relaxed structure of HfPaBe17.

Computed properties:
Energy of formation: -0.14 eV/atom
DOS at the Fermi energy: 12.0 states/eV per cell
E: -4.500 eV/atom
Crystal system: trigonal

abc: 7.6159 7.6159 11.1468
angles: 90.00 90.00 120.00
Last column: nearest neighbours and their distance in Å.
Space group R3m (No. 160, hexagonal axes)
Symmetry-distinct sites (fractional):
Hf: 0.0000 0.0000 0.0000  19 Be 2.69-2.91
Pa: 0.0000 0.0000 0.6777  19 Be 2.75-2.94
Be: 0.0000 0.0000 0.2409  7 Be 2.12-2.34
Be: 0.0000 0.0000 0.4311  4 Be 2.12-2.35
Be: 0.0016 0.5008 0.8369  10 Be 2.16-2.35
Be: 0.0522 0.3834 0.0044  6 Be 2.13-2.27
Be: 0.1671 0.3341 0.5134  9 Be 2.21-2.42
Be: 0.1681 0.3362 0.8308  9 Be 2.18-2.43

***

(3)
The following is a DFT calculation (PBE) of a relaxed structure of HfPaBe2.

Computed properties:
Energy of formation: 0.08 eV/atom
DOS at the Fermi energy: 3.9 states/eV per cell
Distance to the lowest polymorph of the same formula: 0 meV per atom
E: -6.647 eV/atom
Crystal system: tetragonal

abc: 3.0033 3.0033 7.2842
angles: 90.00 90.00 90.00
Last column: nearest neighbours and their distance in Å.
Space group P4/mmm (No. 123)
Symmetry-distinct sites (fractional):
Hf: 0.0000 0.0000 0.0000  8 Be 2.70, 4 Hf 3.00
Pa: 0.0000 0.0000 0.5000  8 Be 2.90, 4 Pa 3.00
Be: 0.5000 0.5000 0.2290  4 Hf 2.70, 4 Pa 2.90, 4 Be 3.00

***

(4)
The following is a DFT calculation (PBE) of a relaxed structure of HfPaBe4.

Computed properties:
Energy of formation: 0.08 eV/atom
DOS at the Fermi energy: 12.1 states/eV per cell
E: -5.650 eV/atom
Crystal system: cubic

abc: 6.9125 6.9125 6.9125
angles: 90.00 90.00 90.00
Last column: nearest neighbours and their distance in Å.
Space group F-43m (No. 216)
Symmetry-distinct sites (fractional):
Hf: 0.0000 0.0000 0.0000  12 Be 2.87, 4 Pa 2.99
Pa: 0.2500 0.2500 0.7500  12 Be 2.87, 4 Hf 2.99
Be: 0.1252 0.1252 0.3748  6 Be 2.44-2.45